TbPdPb | GGA-PBE | optimized geometry

```
TbPdPb
1.0
4.744 0.000 0.000
-2.372 4.108 0.000
0.000 0.000 7.259
Pd Pb Tb
2 2 2
direct
0.333 0.667 0.045 Pd
0.667 0.333 0.545 Pd
0.667 0.333 0.966 Pb
0.333 0.667 0.466 Pb
0.000 0.000 0.739 Tb
0.000 0.000 0.239 Tb
```

TbPdPb2 | GGA-PBE | optimized geometry

```
TbPdPb2
1.0
-0.573 2.476 3.905
0.534 -3.873 2.534
4.418 0.730 0.185
Pb Tb Pd
2 1 1
direct
0.000 0.500 0.500 Pb
0.500 0.000 0.500 Pb
0.500 0.500 0.000 Tb
0.000 0.000 0.000 Pd
```

no.,E_tot (eV/atom),magnetic moment (μB/cell)
1,-5.18,0.02
2,-4.71,0.00